VASP calculation (PBE) on a relaxed structure of BaPaTc.

As for the space group: P-1 (2). Its formation energy is 0.075 eV/f.u. Its crystal system is triclinic.

a b c (Å): 4.725 4.958 8.994
angles (deg): 96.13 90.07 90.01
Atoms (fractional coordinates):
Ba  0.249  0.287  0.172
Ba  0.751  0.713  0.828
Pa  0.250  0.159  0.611
Pa  0.750  0.841  0.389
Tc  0.250  0.683  0.535
Tc  0.750  0.317  0.465



VASP calculation (PBE) on a relaxed structure of Ba2PaTe4.

As for the space group: P2_1/m (11). Its crystal system is monoclinic. The energy relative to the elements, uncorrected is -1.17 eV/atom. For the energy above the most stable polymorph in this dataset, the calculation gives 0.130 eV per atom.

a b c (Å): 8.323 7.919 9.911
angles (deg): 90.00 107.95 90.00
Atoms (fractional coordinates):
Ba  0.205  0.250  0.057
Ba  0.236  0.250  0.553
Ba  0.764  0.750  0.447
Ba  0.795  0.750  0.943
Pa  0.261  0.750  0.815
Pa  0.739  0.250  0.185
Te  0.003  0.512  0.255
Te  0.003  0.988  0.255
Te  0.449  0.750  0.613
Te  0.464  0.750  0.113
Te  0.536  0.250  0.887
Te  0.551  0.250  0.387
Te  0.997  0.012  0.745
Te  0.997  0.488  0.745



VASP calculation (PBE) on a relaxed structure of BaPaTe2.

As for the space group: R-3m (166). Its crystal system is trigonal. The energy relative to the elements, uncorrected is -1.07 eV/atom. For the energy above the most stable polymorph in this dataset, the calculation gives 0.000 eV per atom.

a b c (Å): 8.598 8.598 8.598
angles (deg): 30.11 30.11 30.11
Atoms (fractional coordinates):
Ba  0.000  0.000  0.000
Pa  0.500  0.500  0.500
Te  0.240  0.240  0.240
Te  0.760  0.760  0.760



VASP calculation (PBE) on a relaxed structure of Ba2Pa3Te8.

As for the space group: Cmmm (65). Its crystal system is orthorhombic. The energy relative to the elements, uncorrected is -1.07 eV/atom.

a b c (Å): 9.928 9.928 5.368
angles (deg): 90.00 90.00 114.12
Atoms (fractional coordinates):
Ba  0.238  0.762  0.000
Ba  0.762  0.238  0.000
Pa  0.234  0.234  0.500
Pa  0.500  0.500  0.000
Pa  0.766  0.766  0.500
Te  0.110  0.890  0.500
Te  0.155  0.372  0.000
Te  0.372  0.155  0.000
Te  0.396  0.604  0.500
Te  0.604  0.396  0.500
Te  0.628  0.845  0.000
Te  0.845  0.628  0.000
Te  0.890  0.110  0.500



VASP calculation (PBE) on a relaxed structure of Ba4PaTe6.

As for the space group: R-3c (167). Its crystal system is trigonal. The energy relative to the elements, uncorrected is -1.53 eV/atom.

a b c (Å): 9.658 9.658 9.658
angles (deg): 89.58 89.58 89.58
Atoms (fractional coordinates):
Ba  0.130  0.750  0.370
Ba  0.250  0.250  0.250
Ba  0.250  0.630  0.870
Ba  0.370  0.130  0.750
Ba  0.630  0.870  0.250
Ba  0.750  0.370  0.130
Ba  0.750  0.750  0.750
Ba  0.870  0.250  0.630
Pa  0.000  0.000  0.000
Pa  0.500  0.500  0.500
Te  0.062  0.924  0.695
Te  0.076  0.305  0.938
Te  0.195  0.424  0.562
Te  0.305  0.938  0.076
Te  0.424  0.562  0.195
Te  0.438  0.805  0.576
Te  0.562  0.195  0.424
Te  0.576  0.438  0.805
Te  0.695  0.062  0.924
Te  0.805  0.576  0.438
Te  0.924  0.695  0.062
Te  0.938  0.076  0.305



VASP calculation (PBE) on a relaxed structure of BaPa2Te4.

As for the space group: Cmcm (63). Its crystal system is orthorhombic. The energy relative to the elements, uncorrected is -1.00 eV/atom.

a b c (Å): 7.522 7.522 15.445
angles (deg): 90.00 90.00 145.07
Atoms (fractional coordinates):
Ba  0.105  0.895  0.750
Ba  0.895  0.105  0.250
Pa  0.365  0.635  0.558
Pa  0.365  0.635  0.942
Pa  0.635  0.365  0.058
Pa  0.635  0.365  0.442
Te  0.000  0.000  0.000
Te  0.000  0.000  0.500
Te  0.269  0.731  0.120
Te  0.269  0.731  0.380
Te  0.424  0.576  0.750
Te  0.576  0.424  0.250
Te  0.731  0.269  0.620
Te  0.731  0.269  0.880



VASP calculation (PBE) on a relaxed structure of BaPaTe3.

As for the space group: C2/m (12). Its crystal system is monoclinic. The energy relative to the elements, uncorrected is -1.16 eV/atom. For the energy above the most stable polymorph in this dataset, the calculation gives 0.026 eV per atom.

a b c (Å): 9.161 9.161 10.187
angles (deg): 93.37 93.37 28.47
Atoms (fractional coordinates):
Ba  0.105  0.105  0.420
Ba  0.895  0.895  0.580
Pa  0.309  0.309  0.159
Pa  0.691  0.691  0.841
Te  0.145  0.145  0.028
Te  0.254  0.254  0.671
Te  0.455  0.455  0.322
Te  0.545  0.545  0.678
Te  0.746  0.746  0.329
Te  0.855  0.855  0.972



VASP calculation (PBE) on a relaxed structure of BaPaTe3.

As for the space group: Pnma (62). Its crystal system is orthorhombic. The energy relative to the elements, uncorrected is -1.19 eV/atom. For the energy above the most stable polymorph in this dataset, the calculation gives 0.000 eV per atom.

a b c (Å): 8.501 4.722 18.357
angles (deg): 90.00 90.00 90.00
Atoms (fractional coordinates):
Ba  0.126  0.250  0.198
Ba  0.374  0.750  0.698
Ba  0.626  0.250  0.302
Ba  0.874  0.750  0.802
Pa  0.231  0.750  0.459
Pa  0.269  0.250  0.959
Pa  0.731  0.750  0.041
Pa  0.769  0.250  0.541
Te  0.009  0.250  0.407
Te  0.125  0.750  0.050
Te  0.176  0.250  0.797
Te  0.324  0.750  0.297
Te  0.375  0.250  0.550
Te  0.491  0.750  0.907
Te  0.509  0.250  0.093
Te  0.625  0.750  0.450
Te  0.676  0.250  0.703
Te  0.824  0.750  0.203
Te  0.875  0.250  0.950
Te  0.991  0.750  0.593



VASP calculation (PBE) on a relaxed structure of Ba2PaTe4.

As for the space group: C2/m (12). Its crystal system is monoclinic. The energy relative to the elements, uncorrected is -1.30 eV/atom. For the energy above the most stable polymorph in this dataset, the calculation gives 0.000 eV per atom.

a b c (Å): 9.052 9.052 7.688
angles (deg): 114.99 114.99 29.65
Atoms (fractional coordinates):
Ba  0.149  0.149  0.147
Ba  0.851  0.851  0.853
Pa  0.000  0.000  0.500
Te  0.191  0.191  0.692
Te  0.499  0.499  0.767
Te  0.501  0.501  0.233
Te  0.809  0.809  0.308



VASP calculation (PBE) on a relaxed structure of Ba5Pa3Te12.

As for the space group: P-62m (189). Its crystal system is hexagonal. The energy relative to the elements, uncorrected is -1.32 eV/atom.

a b c (Å): 14.128 14.128 4.689
angles (deg): 90.00 90.00 120.00
Atoms (fractional coordinates):
Ba  0.000  0.286  0.000
Ba  0.286  0.000  0.000
Ba  0.333  0.667  0.000
Ba  0.667  0.333  0.000
Ba  0.714  0.714  0.000
Pa  0.000  0.674  0.500
Pa  0.326  0.326  0.500
Pa  0.674  0.000  0.500
Te  0.000  0.536  0.000
Te  0.000  0.818  0.000
Te  0.182  0.182  0.000
Te  0.201  0.448  0.500
Te  0.246  0.799  0.500
Te  0.448  0.201  0.500
Te  0.464  0.464  0.000
Te  0.536  0.000  0.000
Te  0.552  0.754  0.500
Te  0.754  0.552  0.500
Te  0.799  0.246  0.500
Te  0.818  0.000  0.000



VASP calculation (PBE) on a relaxed structure of Ba3PaTe6.

As for the space group: P2_1/c (14). Its crystal system is monoclinic. The energy relative to the elements, uncorrected is -1.26 eV/atom.

a b c (Å): 8.295 9.035 13.773
angles (deg): 90.00 123.56 90.00
Atoms (fractional coordinates):
Ba  0.000  0.000  0.000
Ba  0.000  0.500  0.500
Ba  0.200  0.092  0.737
Ba  0.200  0.408  0.237
Ba  0.800  0.592  0.763
Ba  0.800  0.908  0.263
Pa  0.500  0.000  0.500
Pa  0.500  0.500  0.000
Te  0.150  0.178  0.441
Te  0.150  0.322  0.941
Te  0.259  0.719  0.417
Te  0.259  0.781  0.917
Te  0.417  0.062  0.265
Te  0.417  0.438  0.765
Te  0.583  0.562  0.235
Te  0.583  0.938  0.735
Te  0.741  0.219  0.083
Te  0.741  0.281  0.583
Te  0.850  0.678  0.059
Te  0.850  0.822  0.559



VASP calculation (PBE) on a relaxed structure of BaPa4Te8.

As for the space group: F-43m (216). Its crystal system is cubic. The energy relative to the elements, uncorrected is -0.81 eV/atom.

a b c (Å): 9.182 9.182 9.182
angles (deg): 60.00 60.00 60.00
Atoms (fractional coordinates):
Ba  0.000  0.000  0.000
Pa  0.152  0.616  0.616
Pa  0.616  0.152  0.616
Pa  0.616  0.616  0.152
Pa  0.616  0.616  0.616
Te  0.378  0.378  0.378
Te  0.378  0.378  0.866
Te  0.378  0.866  0.378
Te  0.432  0.856  0.856
Te  0.856  0.432  0.856
Te  0.856  0.856  0.432
Te  0.856  0.856  0.856
Te  0.866  0.378  0.378